No. 1
Density functional theory data (PBE-GGA) for AgH4Pd8 after structural relaxation.

a = 2.875 Å, b = 7.611 Å, c = 7.613 Å
α = 68.03°, β = 79.25°, γ = 79.27°
Element x y z (fractional)
Ag 0.000 0.000 0.000
H 0.158 0.531 0.161
H 0.165 0.162 0.525
H 0.835 0.838 0.475
H 0.842 0.469 0.839
Pd 0.000 0.334 0.666
Pd 0.000 0.666 0.334
Pd 0.333 0.000 0.333
Pd 0.333 0.333 0.000
Pd 0.335 0.667 0.667
Pd 0.665 0.333 0.333
Pd 0.667 0.000 0.667
Pd 0.667 0.667 0.000

DFT total energy: -58.7 eV for the cell shown
DOS(E_F): 0.802 states/eV/atom

---

No. 2
Density functional theory data (PBE-GGA) for CsDy3Ag2Te6 after structural relaxation.

a = 10.990 Å, b = 10.990 Å, c = 9.542 Å
α = 110.18°, β = 110.18°, γ = 23.57°
Element x y z (fractional)
Cs 0.000 0.000 0.000
Dy 0.000 0.000 0.500
Dy 0.328 0.328 0.164
Dy 0.672 0.672 0.836
Ag 0.243 0.243 0.393
Ag 0.757 0.757 0.607
Te 0.161 0.161 0.583
Te 0.178 0.178 0.064
Te 0.478 0.478 0.275
Te 0.522 0.522 0.725
Te 0.822 0.822 0.936
Te 0.839 0.839 0.417

ΔE_f (raw): -1.05 eV per atom

---

No. 3
Density functional theory data (PBE-GGA) for Pm5Dy4Er4 after structural relaxation.

a = 9.459 Å, b = 9.459 Å, c = 9.459 Å
α = 94.07°, β = 94.07°, γ = 149.09°
Element x y z (fractional)
Pm 0.000 0.000 0.000
Pm 0.305 0.539 0.844
Pm 0.461 0.305 0.767
Pm 0.539 0.695 0.233
Pm 0.695 0.461 0.156
Dy 0.155 0.767 0.922
Dy 0.233 0.155 0.387
Dy 0.767 0.845 0.613
Dy 0.845 0.233 0.078
Er 0.076 0.386 0.462
Er 0.386 0.924 0.310
Er 0.614 0.076 0.690
Er 0.924 0.614 0.538

E_form: 18.3 meV/atom
DOS(E_F): 1.393 states/eV/atom

---

No. 4
Density functional theory data (PBE-GGA) for Nd4Y3TmTe8 after structural relaxation.

a = 8.945 Å, b = 8.945 Å, c = 8.945 Å
α = 58.64°, β = 58.64°, γ = 58.64°
Element x y z (fractional)
Nd 0.000 0.000 0.000
Nd 0.000 0.500 0.500
Nd 0.500 0.000 0.500
Nd 0.500 0.500 0.000
Y 0.000 0.000 0.500
Y 0.000 0.500 0.000
Y 0.500 0.000 0.000
Tm 0.500 0.500 0.500
Te 0.246 0.246 0.246
Te 0.248 0.744 0.744
Te 0.256 0.256 0.752
Te 0.256 0.752 0.256
Te 0.744 0.248 0.744
Te 0.744 0.744 0.248
Te 0.752 0.256 0.256
Te 0.754 0.754 0.754

ΔE_f (raw): -1.35 eV per atom
DOS(E_F): 0.703 states/eV/atom

---

No. 5
Density functional theory data (PBE-GGA) for LuPuThCd after structural relaxation.

a = 5.380 Å, b = 5.380 Å, c = 5.380 Å
α = 60.00°, β = 60.00°, γ = 60.00°
Element x y z (fractional)
Lu 0.000 0.000 0.000
Pu 0.750 0.750 0.750
Th 0.500 0.500 0.500
Cd 0.250 0.250 0.250

E_form: 112.0 meV/atom
DOS(E_F): 4.095 states/eV/atom

---

No. 6
Density functional theory data (PBE-GGA) for Na2CrIn2 after structural relaxation.

a = 8.421 Å, b = 8.421 Å, c = 8.421 Å
α = 152.86°, β = 152.86°, γ = 38.76°
Element x y z (fractional)
Na 0.250 0.750 0.500
Na 0.750 0.250 0.500
Cr 0.000 0.000 0.000
In 0.408 0.408 0.000
In 0.592 0.592 0.000

E_form: 379.8 meV/atom
E above lowest polymorph: 109 meV per atom
DOS(E_F): 0.382 states/eV/atom

---

No. 7
Density functional theory data (PBE-GGA) for Rb4GaIr2 after structural relaxation.

a = 9.329 Å, b = 9.329 Å, c = 9.329 Å
α = 137.98°, β = 137.98°, γ = 60.93°
Element x y z (fractional)
Rb 0.000 0.500 0.500
Rb 0.217 0.217 0.000
Rb 0.500 0.000 0.500
Rb 0.783 0.783 0.000
Ga 0.000 0.000 0.000
Ir 0.428 0.428 0.000
Ir 0.572 0.572 0.000

E_form: 953.8 meV/atom
DOS(E_F): 1.188 states/eV/atom

---

No. 8
Density functional theory data (PBE-GGA) for YTl3Co after structural relaxation.

a = 5.013 Å, b = 5.013 Å, c = 5.013 Å
α = 90.00°, β = 90.00°, γ = 90.00°
Element x y z (fractional)
Y 0.000 0.000 0.000
Tl 0.000 0.500 0.500
Tl 0.500 0.000 0.500
Tl 0.500 0.500 0.000
Co 0.500 0.500 0.500

E_form: 188.0 meV/atom
E above lowest polymorph: 0 meV per atom
DOS(E_F): 0.935 states/eV/atom